The following is a DFT calculation (GGA-PBEsol) of a geometry-optimized BaCa3 structure.

Geometry as CIF:
```
data_BaCa3
_cell_length_a 3.9480
_cell_length_b 13.0704
_cell_length_c 6.9073
_cell_angle_alpha 90.00
_cell_angle_beta 90.00
_cell_angle_gamma 90.00
_symmetry_space_group_name_H-M 'I m m 2'
_symmetry_Int_Tables_number 44
_symmetry_space_group_name_Hall 'I 2 -2'
loop_
_atom_site_label
_atom_site_type_symbol
_atom_site_fract_x
_atom_site_fract_y
_atom_site_fract_z
Ba1 Ba 0.0000 0.0000 0.0000
Ca1 Ca 0.0000 0.2449 0.6666
Ca2 Ca 0.0000 0.5000 0.9978
```

# Ba2Ca | Alexandria via LeMat-Bulk | GGA-PBEsol | optimized geometry
# - Energy relative to the lowest polymorph listed for this composition: 26 meV/atom
data_Ba2Ca
_cell_length_a 6.7272
_cell_length_b 6.7272
_cell_length_c 8.0364
_cell_angle_alpha 90.00
_cell_angle_beta 90.00
_cell_angle_gamma 120.00
_symmetry_space_group_name_H-M 'P 63/m m c'
_symmetry_Int_Tables_number 194
_symmetry_space_group_name_Hall '-P 6c 2c'
loop_
_atom_site_label
_atom_site_type_symbol
_atom_site_fract_x
_atom_site_fract_y
_atom_site_fract_z
Ba1 Ba 0.0000 0.0000 0.0000
Ba2 Ba 0.3333 0.6667 0.2500
Ca1 Ca 0.3333 0.6667 0.7500

# Ba3Ca | Alexandria via LeMat-Bulk | GGA-PBEsol | optimized geometry
# - Energy relative to the lowest polymorph listed for this composition: 6 meV/atom
data_Ba3Ca
_cell_length_a 6.9050
_cell_length_b 8.4284
_cell_length_c 7.3293
_cell_angle_alpha 90.00
_cell_angle_beta 90.00
_cell_angle_gamma 90.00
_symmetry_space_group_name_H-M 'P m m n'
_symmetry_Int_Tables_number 59
loop_
_symmetry_equiv_pos_as_xyz
'x,y,z'
'-x,-y,-z'
'-x+1/2,-y+1/2,z'
'x+1/2,y+1/2,-z'
'x+1/2,-y,-z'
'-x+1/2,y,z'
'-x,y+1/2,-z'
'x,-y+1/2,z'
loop_
_atom_site_label
_atom_site_type_symbol
_atom_site_fract_x
_atom_site_fract_y
_atom_site_fract_z
Ba1 Ba 0.2500 0.0018 0.1691
Ba2 Ba 0.2500 0.7500 0.6630
Ca1 Ca 0.2500 0.2500 0.6714

# BaCa | Alexandria via LeMat-Bulk | GGA-PBEsol | optimized geometry
# - Energy relative to the lowest polymorph listed for this composition: 49 meV/atom
data_BaCa
_cell_length_a 13.1328
_cell_length_b 11.3978
_cell_length_c 7.8284
_cell_angle_alpha 90.00
_cell_angle_beta 90.00
_cell_angle_gamma 90.00
_symmetry_space_group_name_H-M 'P b c m'
_symmetry_Int_Tables_number 57
_symmetry_space_group_name_Hall '-P 2c 2b'
loop_
_atom_site_label
_atom_site_type_symbol
_atom_site_fract_x
_atom_site_fract_y
_atom_site_fract_z
Ba1 Ba 0.1231 0.0776 0.2500
Ba2 Ba 0.1255 0.7500 0.0000
Ba3 Ba 0.3739 0.5910 0.2500
Ca1 Ca 0.1344 0.0924 0.7500
Ca2 Ca 0.3757 0.2500 0.0000
Ca3 Ca 0.3826 0.5734 0.7500

| no. | ΔH_f (0 K) (eV/atom) | V (Å³ per cell) |
| --- | --- | --- |
| 1 | 0.036 | 356.4 |
| 2 | 0.052 | 315.0 |
| 3 | 0.024 | 426.5 |
| 4 | 0.067 | 1171.8 |